No. 1
Density functional theory data (PBE) for crystalline CaY2CdO at its relaxed geometry.

Summary:
magnetic moment = 0.0 μB per formula unit
formation energy from raw total energies = -1290 meV per atom

Cell: 4.827 4.827 4.842 Å, 90.00 90.00 90.00°
Space group P4/mmm (No. 123)
Symmetry-distinct sites (fractional):
Ca  0.000  0.000  0.000 (multiplicity 1)
Y  0.000  0.500  0.500 (multiplicity 2)
Cd  0.500  0.500  0.000 (multiplicity 1)
O  0.000  0.000  0.500 (multiplicity 1)



No. 2
Density functional theory data (PBE) for crystalline CaZnCdO3 at its relaxed geometry.

Summary:
magnetic moment = 0.0 μB per formula unit
formation energy from raw total energies = -1696 meV per atom

Cell: 6.311 3.186 9.168 Å, 90.00 92.42 90.00°
Space group P2_1/m (No. 11)
Symmetry-distinct sites (fractional):
Ca  0.185  0.250  0.249 (multiplicity 2)
Zn  0.166  0.250  0.581 (multiplicity 2)
Cd  0.339  0.750  0.888 (multiplicity 2)
O  0.111  0.250  0.788 (multiplicity 2)
O  0.200  0.750  0.457 (multiplicity 2)
O  0.386  0.750  0.134 (multiplicity 2)



No. 3
Density functional theory data (PBE) for crystalline CaZnCd2O at its relaxed geometry.

Summary:
magnetic moment = 0.0 μB per formula unit
formation energy from raw total energies = -288 meV per atom

Cell: 5.752 5.752 3.666 Å, 90.00 90.00 90.00°
Space group P4/mmm (No. 123)
Symmetry-distinct sites (fractional):
Ca  0.000  0.000  0.000 (multiplicity 1)
Zn  0.500  0.500  0.500 (multiplicity 1)
Cd  0.000  0.500  0.500 (multiplicity 2)
O  0.500  0.500  0.000 (multiplicity 1)



Copy entry 1 word for word.
Density functional theory data (PBE) for crystalline CaY2CdO at its relaxed geometry.

Summary:
magnetic moment = 0.0 μB per formula unit
formation energy from raw total energies = -1290 meV per atom

Cell: 4.827 4.827 4.842 Å, 90.00 90.00 90.00°
Space group P4/mmm (No. 123)
Symmetry-distinct sites (fractional):
Ca  0.000  0.000  0.000 (multiplicity 1)
Y  0.000  0.500  0.500 (multiplicity 2)
Cd  0.500  0.500  0.000 (multiplicity 1)
O  0.000  0.000  0.500 (multiplicity 1)



Which value of magnetic moment does entry 2 give? 0.0 μB per formula unit